The following is a DFT calculation (PBE-GGA) of a geometry-optimized Sr2TaSb structure.

Calculated values
* SG: Pmmm (47)
* total moment: 1.85 μB per cell
* density of states at the Fermi level: 3.51 states/eV/f.u.
* theoretical density: 6.65 g cm⁻³
* total energy: -4.464 eV per atom
* uncorrected formation energy: 0.370 eV/atom

Cell: 3.4190 4.7483 7.3557 Å, 90.00 90.00 90.00°
Sites, in units of the cell vectors:
1 Sr 0.0000 0.0000 0.2461
2 Sr 0.0000 0.0000 0.7539
3 Ta 0.5000 0.5000 0.5000
4 Sb 0.5000 0.5000 0.0000